! Pr2Nd3Dy | the Alexandria database | PBE-GGA | optimized geometry; values from VASP
! Relative energy among the computed polymorphs ... 0 meV/atom
! Energy of formation ... 0.0560 eV per atom
! Fermi-level density of states ... 8.89 states/eV/f.u.
! DFT total energy ... -4.6881 eV per atom
&SYSTEM
  ibrav = 0, nat = 12, ntyp = 3
/
ATOMIC_SPECIES
Pr 140.91 Pr.upf
Nd 144.24 Nd.upf
Dy 162.50 Dy.upf
ATOMIC_POSITIONS angstrom
Pr 0.0455 -0.4789 11.2847
Pr -0.0340 -1.1395 4.4448
Pr 0.0410 1.7294 2.2980
Pr 0.1205 2.3900 9.1378
Nd 1.6750 -0.8298 7.8497
Nd -1.5885 2.0803 5.7330
Nd -1.6782 -0.7643 7.8513
Nd 1.7647 2.0148 5.7313
Nd 3.3644 0.2369 3.3800
Nd -3.2779 1.0136 10.2026
Dy -3.4076 -2.4531 5.5340
Dy 3.4941 3.7037 8.0486
CELL_PARAMETERS angstrom
0.1788 6.3287 2.5336
-5.1168 -3.8307 6.6105
5.0246 -1.2474 4.4386